CsLiAc2I8 PBE optimized geometry; E = -3.389 eV per atom; crystal system = monoclinic
1.0
7.9460 0.0000 0.0000
0.0000 10.1334 0.0000
-1.2550 0.0000 7.9499
Cs Li Ac I
1 1 2 8
direct
0.0000 0.0000 0.0000
0.0000 0.5000 0.0000
0.5000 0.2604 0.5000
0.5000 0.7396 0.5000
0.2486 0.2966 0.1474
0.2486 0.7034 0.1474
0.2737 0.5000 0.6362
0.2840 0.0000 0.6184
0.7160 0.0000 0.3816
0.7263 0.5000 0.3638
0.7514 0.2966 0.8526
0.7514 0.7034 0.8526